--- A ---
Tl2PbSe (PBE, relaxed); total magnetic moment = 0.00 μB per formula unit
1.0
9.398 -0.039 -0.023
8.574 3.848 -0.023
8.574 1.817 3.392
Se Tl Pb
1 2 1
Direct
0.750 0.750 0.750
0.486 0.486 0.486
0.014 0.014 0.014
0.250 0.250 0.250

***

--- B ---
Tl2PbSe (PBE, relaxed); total magnetic moment = 0.00 μB per formula unit
1.0
-3.337 -0.184 -2.509
-2.150 -1.957 3.002
-2.212 6.242 2.485
Tl Pb Se
2 1 1
Direct
0.000 0.000 0.009
0.500 0.500 0.253
0.000 0.000 0.551
0.500 0.500 0.687

***

Least stable structure: A

***

--- A ---
Tl2PbSe (PBE, relaxed); total magnetic moment = 0.00 μB per formula unit
1.0
6.511 -0.047 -0.008
5.029 4.137 -0.008
1.717 0.608 4.372
Tl Se Pb
2 1 1
Direct
0.980 0.980 0.020
0.520 0.520 0.480
0.250 0.250 0.250
0.750 0.750 0.750

***

--- B ---
Tl2PbSe (PBE, relaxed); total magnetic moment = 0.00 μB per formula unit
1.0
-1.847 2.307 -2.969
-4.204 -1.522 1.433
-3.827 3.577 5.161
Tl Se Pb
2 1 1
Direct
0.000 0.940 0.983
0.000 0.560 0.517
0.500 0.750 0.750
0.500 0.250 0.250

***

Least stable structure: B

***

--- A ---
Tl2PbSe (PBE, relaxed); total magnetic moment = 0.00 μB per formula unit
1.0
8.301 0.517 1.747
-2.969 3.602 0.467
2.363 1.351 4.566
Pb Tl Se
1 2 1
Direct
0.000 0.500 0.500
0.000 0.000 0.000
0.500 0.000 0.500
0.500 0.500 0.000

***

--- B ---
Tl2PbSe (PBE, relaxed); total magnetic moment = 0.00 μB per formula unit
1.0
-4.636 1.618 -2.405
-1.270 -1.825 -4.995
-4.120 -3.535 -0.653
Pb Tl Se
1 2 1
Direct
0.500 0.500 0.500
0.000 0.000 0.000
0.250 0.250 0.250
0.750 0.750 0.750

***

Least stable structure: B

***

--- A ---
Tl2PbSe (PBE, relaxed); total magnetic moment = 0.00 μB per formula unit
1.0
-0.717 4.304 4.774
-4.480 -1.366 4.461
5.382 -2.231 -2.808
Pb Se Tl
1 1 2
Direct
0.458 0.458 0.000
0.263 0.763 0.500
0.031 0.031 0.000
0.748 0.248 0.500

***

--- B ---
Tl2PbSe (PBE, relaxed); total magnetic moment = 0.00 μB per formula unit
1.0
6.853 0.000 0.000
0.000 6.853 0.000
3.426 3.426 6.758
Se Pb Tl
2 2 4
Direct
0.500 0.500 0.000
0.250 0.750 0.500
0.750 0.250 0.500
0.000 0.000 0.000
0.141 0.625 0.250
0.875 0.859 0.750
0.609 0.125 0.250
0.375 0.391 0.750

***

--- C ---
Tl2PbSe (PBE, relaxed); total magnetic moment = 0.00 μB per formula unit
1.0
0.000 3.886 3.886
3.886 0.000 3.886
3.886 3.886 0.000
Tl Pb Se
2 1 1
Direct
0.250 0.250 0.250
0.750 0.750 0.750
0.500 0.500 0.500
0.000 0.000 0.000

***

Least stable structure: B

***

--- A ---
Tl3PbSe (PBE, relaxed); total magnetic moment = 0.00 μB per formula unit
1.0
5.778 0.000 0.000
0.000 5.778 0.000
0.000 0.000 5.778
Tl Pb Se
3 1 1
Direct
0.000 0.500 0.000
0.500 0.000 0.000
0.000 0.000 0.500
0.500 0.500 0.500
0.000 0.000 0.000

***

--- B ---
Tl3PbSe (PBE, relaxed); total magnetic moment = 0.00 μB per formula unit
1.0
-4.578 -0.301 3.748
3.505 -2.482 4.081
1.363 5.371 2.096
Tl Pb Se
3 1 1
Direct
0.000 0.500 0.000
0.500 0.000 0.000
0.000 0.000 0.500
0.000 0.000 0.000
0.500 0.500 0.500

***

Least stable structure: B

***

--- A ---
TlPb2Se2 (PBE, relaxed); total magnetic moment = 0.00 μB per formula unit
1.0
5.650 0.000 0.000
0.000 5.650 0.000
2.825 2.825 5.234
Se Pb Tl
2 2 1
Direct
0.250 0.750 0.500
0.750 0.250 0.500
0.656 0.656 0.688
0.344 0.344 0.312
0.000 0.000 0.000

***

--- B ---
TlPb2Se2 (PBE, relaxed); total magnetic moment = 0.00 μB per formula unit
1.0
8.510 0.000 0.000
0.000 8.510 0.000
0.000 0.000 4.013
Pb Se Tl
4 4 2
Direct
0.149 0.649 0.500
0.351 0.149 0.500
0.649 0.851 0.500
0.851 0.351 0.500
0.850 0.650 0.000
0.650 0.150 0.000
0.350 0.850 0.000
0.150 0.350 0.000
0.000 0.000 0.000
0.500 0.500 0.000

***

Least stable structure: A

***

--- A ---
TlPbSe (PBE, relaxed); total magnetic moment = 0.00 μB per formula unit
1.0
5.257 0.000 0.000
2.628 4.553 0.000
2.628 1.518 4.292
Tl Se Pb
1 1 1
Direct
0.000 0.000 0.000
0.750 0.750 0.750
0.500 0.500 0.500

***

--- B ---
TlPbSe (PBE, relaxed); total magnetic moment = 0.00 μB per formula unit
1.0
-0.012 -5.095 -0.132
4.329 2.560 -0.824
0.842 -0.108 4.089
Tl Pb Se
1 1 1
Direct
0.333 0.667 0.651
0.000 0.000 0.120
0.667 0.333 0.229

***

Least stable structure: A

***

--- A ---
TlPbSe (PBE, relaxed); total magnetic moment = 0.00 μB per formula unit
1.0
-1.395 3.720 -1.292
0.665 -3.768 -4.813
-8.010 -0.551 7.062
Se Pb Tl
2 2 2
Direct
0.719 0.438 0.294
0.281 0.562 0.706
0.829 0.659 0.918
0.171 0.341 0.082
0.033 0.066 0.341
0.967 0.934 0.659

***

--- B ---
TlPbSe (PBE, relaxed); total magnetic moment = 0.00 μB per formula unit
1.0
-3.705 4.994 -4.191
-6.219 -4.152 0.550
-1.954 3.748 6.193
Tl Se Pb
4 4 4
Direct
0.902 0.598 0.402
0.098 0.098 0.098
0.598 0.402 0.902
0.402 0.902 0.598
0.663 0.837 0.163
0.337 0.337 0.337
0.163 0.663 0.837
0.837 0.163 0.663
0.304 0.696 0.196
0.196 0.304 0.696
0.804 0.804 0.804
0.696 0.196 0.304

***

--- C ---
TlPbSe (PBE, relaxed); total magnetic moment = 0.00 μB per formula unit
1.0
-6.354 0.952 1.179
-4.993 -1.373 3.982
-0.278 2.917 2.556
Tl Se Pb
1 1 1
Direct
0.676 0.676 0.324
0.356 0.356 0.644
0.968 0.968 0.032

***

Least stable structure: B

***

--- A ---
Tl2Pb2Se (PBE, relaxed); total magnetic moment = 0.00 μB per formula unit
1.0
-1.874 -7.523 2.296
6.670 -2.770 -3.634
2.456 0.620 4.036
Se Tl Pb
2 4 4
Direct
0.000 0.000 0.000
0.500 0.500 0.000
0.649 0.149 0.000
0.351 0.851 0.000
0.149 0.351 0.000
0.851 0.649 0.000
0.346 0.154 0.500
0.654 0.846 0.500
0.846 0.346 0.500
0.154 0.654 0.500

***

--- B ---
Tl2Pb2Se (PBE, relaxed); total magnetic moment = 0.00 μB per formula unit
1.0
-2.971 6.892 2.749
0.263 -2.861 7.459
4.661 1.799 0.526
Pb Tl Se
4 4 2
Direct
0.650 0.150 0.000
0.150 0.350 0.000
0.850 0.650 0.000
0.350 0.850 0.000
0.838 0.338 0.500
0.662 0.838 0.500
0.162 0.662 0.500
0.338 0.162 0.500
0.000 0.000 0.000
0.500 0.500 0.000

***

Least stable structure: A

***

--- A ---
Tm2PbSe4 (PBE, relaxed); total magnetic moment = 0.00 μB per formula unit
1.0
4.081 0.000 0.000
-2.041 6.718 0.000
0.000 0.000 14.074
Se Pb Tm
8 2 4
Direct
0.500 0.000 0.500
0.500 0.000 0.000
0.770 0.539 0.386
0.770 0.539 0.114
0.230 0.461 0.614
0.054 0.109 0.250
0.946 0.891 0.750
0.230 0.461 0.886
0.603 0.206 0.750
0.397 0.794 0.250
0.136 0.273 0.066
0.136 0.273 0.434
0.864 0.727 0.934
0.864 0.727 0.566

***

--- B ---
Tm2PbSe4 (PBE, relaxed); total magnetic moment = 0.00 μB per formula unit
1.0
4.085 0.000 0.000
0.000 12.788 0.000
0.000 0.000 14.764
Se Tm Pb
16 8 4
Direct
0.250 0.409 0.573
0.250 0.702 0.666
0.250 0.202 0.834
0.250 0.042 0.284
0.750 0.458 0.784
0.750 0.091 0.073
0.750 0.591 0.427
0.250 0.125 0.537
0.750 0.958 0.716
0.250 0.625 0.963
0.750 0.798 0.166
0.750 0.298 0.334
0.750 0.875 0.463
0.250 0.909 0.927
0.250 0.542 0.216
0.750 0.375 0.037
0.750 0.058 0.885
0.750 0.558 0.615
0.250 0.912 0.591
0.250 0.942 0.115
0.250 0.442 0.385
0.750 0.588 0.091
0.250 0.412 0.909
0.750 0.088 0.409
0.250 0.242 0.174
0.250 0.742 0.326
0.750 0.258 0.674
0.750 0.758 0.826

***

Least stable structure: A

***

--- A ---
Tm2PbSe (PBE, relaxed); total magnetic moment = 0.00 μB per formula unit
1.0
-2.730 -2.032 -0.863
0.893 0.239 -3.388
4.564 -6.450 0.748
Pb Tm Se
1 2 1
Direct
0.500 0.500 0.500
0.000 0.000 0.776
0.000 0.000 0.224
0.500 0.500 0.000

***

--- B ---
Tm2PbSe (PBE, relaxed); total magnetic moment = 0.00 μB per formula unit
1.0
-0.838 2.441 -3.298
1.710 -0.855 -3.726
-5.212 -3.517 -3.938
Tm Pb Se
2 1 1
Direct
0.254 0.254 0.238
0.746 0.746 0.762
0.500 0.500 0.500
0.000 0.000 0.000

***

Least stable structure: A

***

--- A ---
U4PbSe8 (PBE, relaxed); total magnetic moment = 10.00 μB per formula unit
1.0
8.032 0.004 -1.909
-4.652 6.590 -1.760
-0.215 -0.398 8.404
Se U Pb
8 4 1
Direct
0.185 0.516 0.219
0.815 0.484 0.781
0.297 0.966 0.781
0.308 0.485 0.793
0.192 0.030 0.222
0.703 0.034 0.219
0.808 0.970 0.778
0.692 0.515 0.207
0.741 0.237 0.978
0.246 0.246 0.000
0.754 0.754 0.000
0.259 0.763 0.022
0.000 0.500 0.500

***

--- B ---
U4PbSe8 (PBE, relaxed); total magnetic moment = 10.00 μB per formula unit
1.0
-2.014 4.242 7.093
-7.950 2.787 1.177
-4.959 -3.644 5.872
Pb Se U
1 8 4
Direct
0.750 0.750 0.750
0.611 0.611 0.611
0.167 0.611 0.611
0.611 0.611 0.167
0.134 0.134 0.134
0.597 0.134 0.134
0.134 0.134 0.597
0.134 0.597 0.134
0.611 0.167 0.611
0.888 0.371 0.371
0.371 0.371 0.371
0.371 0.371 0.888
0.371 0.888 0.371

***

Least stable structure: B